Model one:
Crystalline Zn2ReCl at its relaxed geometry. Source: the Alexandria database, functional PBE-GGA.

## Properties
crystal system = tetragonal
calculated volume = 17.357 A^3/atom

Lattice parameters (Å, degrees): 2.8910 2.8910 8.3073 90.00 90.00 90.00
Positions (direct):
Zn: 0.0000 0.0000 0.0000
Zn: 0.5000 0.5000 0.2273
Re: 0.5000 0.5000 0.7872
Cl: 0.0000 0.0000 0.5929



Model two:
Crystalline Zn2ReCl at its relaxed geometry. Source: the Alexandria database, functional PBE-GGA.

## Properties
crystal system = monoclinic
calculated volume = 15.798 A^3/atom

Lattice parameters (Å, degrees): 5.4255 5.4255 4.4381 97.01 97.01 29.18
Positions (direct):
Zn: 0.2252 0.2252 0.2370
Zn: 0.7748 0.7748 0.7630
Re: 0.5000 0.5000 0.0000
Cl: 0.0000 0.0000 0.5000



model one is the most stable structure; the next one sits 10.2 kJ/mol of atoms above it.



Model one:
Crystalline Ca3NbAs at its relaxed geometry. Source: the Alexandria database, functional PBE-GGA.

## Properties
crystal system = cubic
calculated volume = 34.905 A^3/atom

Lattice parameters (Å, degrees): 5.5884 5.5884 5.5884 90.00 90.00 90.00
Positions (direct):
Ca: 0.0000 0.0000 0.5000
Ca: 0.0000 0.5000 0.0000
Ca: 0.5000 0.0000 0.0000
Nb: 0.5000 0.5000 0.5000
As: 0.0000 0.0000 0.0000



Model two:
Crystalline Ca3NbAs at its relaxed geometry. Source: the Alexandria database, functional PBE-GGA.

## Properties
crystal system = cubic
calculated volume = 31.878 A^3/atom

Lattice parameters (Å, degrees): 5.4219 5.4219 5.4219 90.00 90.00 90.00
Positions (direct):
Ca: 0.0000 0.0000 0.5000
Ca: 0.0000 0.5000 0.0000
Ca: 0.5000 0.0000 0.0000
Nb: 0.0000 0.0000 0.0000
As: 0.5000 0.5000 0.5000



model one is the most stable structure; the next one sits 65.4 kJ/mol of atoms above it.